1.
DFT (PBE) results for a geometry-optimized TcMo2Pb structure.

Unit cell a=3.0401 b=4.0742 c=5.8173 alpha=90.00 beta=90.02 gamma=90.00
Last column: nearest neighbours and their distance in Å.
Fractional positions:
Tc: 0.0000 0.0000 0.0000  1 Mo 2.35
Mo: 0.0015 0.0000 0.5956  1 Tc 2.35
Mo: 0.4975 0.5000 0.8007  4 Tc 2.79-2.80, 6 Mo 2.80-3.04, 2 Pb 2.88-2.93
Pb: 0.5007 0.5000 0.2965  6 Mo 2.88-3.08, 2 Pb 3.04, 4 Tc 3.07

ΔH_f (0 K) in kJ per mole of atoms: 46
M_tot in Bohr magnetons per cell: 0.0
Fermi-level density of states in states/eV/atom: 0.795

---

2.
DFT (PBE) results for a geometry-optimized Sb2TeRu structure.

Unit cell a=8.1379 b=8.1379 c=8.1379 alpha=110.20 beta=109.13 gamma=109.08
Last column: nearest neighbours and their distance in Å.
Fractional positions:
Sb: 0.1585 0.0039 0.8454  2 Ru 2.66, 1 Sb 2.88
Sb: 0.1585 0.3131 0.1546  2 Ru 2.66, 1 Sb 2.88
Sb: 0.3459 0.1604 0.5063  2 Ru 2.66, 1 Sb 2.91
Sb: 0.3459 0.8396 0.1855  2 Ru 2.66, 1 Sb 2.91
Sb: 0.6541 0.1604 0.8145  2 Ru 2.66, 1 Sb 2.91
Sb: 0.6541 0.8396 0.4937  2 Ru 2.66, 1 Sb 2.91
Sb: 0.8415 0.6869 0.8454  2 Ru 2.66, 1 Sb 2.88
Sb: 0.8415 0.9961 0.1546  2 Ru 2.66, 1 Sb 2.88
Te: 0.0156 0.3412 0.6744  2 Ru 2.58
Te: 0.3332 0.6588 0.6744  2 Ru 2.58
Te: 0.6668 0.3412 0.3256  2 Ru 2.58
Te: 0.9844 0.6588 0.3256  2 Ru 2.58
Ru: 0.0000 0.0000 0.5000  2 Te 2.58, 4 Sb 2.66
Ru: 0.0000 0.5000 0.0000  2 Te 2.58, 4 Sb 2.66
Ru: 0.5000 0.0000 0.0000  2 Te 2.58, 4 Sb 2.66
Ru: 0.5000 0.5000 0.5000  2 Te 2.58, 4 Sb 2.66

Raw formation energy in eV/atom: -0.2246
M_tot in Bohr magnetons per cell: 0.0
Fermi-level density of states in states/eV/atom: 0.190

---

3.
DFT (PBE) results for a geometry-optimized Pr4Ga2Ag structure.

Unit cell a=8.9519 b=8.9519 c=8.9519 alpha=34.16 beta=34.16 gamma=34.16
Last column: nearest neighbours and their distance in Å.
Fractional positions:
Pr: 0.1193 0.1193 0.1193  4 Ga 3.16-3.25, 3 Ag 3.26
Pr: 0.3709 0.3709 0.3709  4 Ga 3.10-3.27, 1 Ag 3.26
Pr: 0.6291 0.6291 0.6291  4 Ga 3.10-3.27, 1 Ag 3.26
Pr: 0.8807 0.8807 0.8807  4 Ga 3.16-3.25, 3 Ag 3.26
Ga: 0.2481 0.2481 0.2481  8 Pr 3.10-3.27
Ga: 0.7519 0.7519 0.7519  8 Pr 3.10-3.27
Ag: 0.5000 0.5000 0.5000  8 Pr 3.26

Energy above the lowest structure with this stoichiometry in meV/atom: 0.0
ΔH_f (0 K) in kJ per mole of atoms: -32
M_tot in Bohr magnetons per cell: 0.0
Fermi-level density of states in states/eV/atom: 1.338

---

4.
DFT (PBE) results for a geometry-optimized Pa2NbSe4 structure.

Unit cell a=14.9350 b=3.6575 c=6.8184 alpha=90.00 beta=115.79 gamma=90.00
Last column: nearest neighbours and their distance in Å.
Fractional positions:
Pa: 0.2470 0.0000 0.2515  6 Se 2.87-2.94
Pa: 0.2530 0.5000 0.7485  6 Se 2.87-2.94
Pa: 0.7470 0.5000 0.2515  6 Se 2.87-2.94
Pa: 0.7530 0.0000 0.7485  6 Se 2.87-2.94
Nb: 0.0000 0.0000 0.0000  6 Se 2.65-2.68
Nb: 0.5000 0.5000 0.0000  6 Se 2.65-2.68
Se: 0.1039 0.5000 0.3013  2 Nb 2.68, 3 Pa 2.89-2.94
Se: 0.1146 0.0000 0.7930  1 Nb 2.65, 3 Pa 2.87-2.88
Se: 0.3854 0.5000 0.2070  1 Nb 2.65, 3 Pa 2.87-2.88
Se: 0.3961 0.0000 0.6987  2 Nb 2.68, 3 Pa 2.89-2.94
Se: 0.6039 0.0000 0.3013  2 Nb 2.68, 3 Pa 2.89-2.94
Se: 0.6146 0.5000 0.7930  1 Nb 2.65, 3 Pa 2.87-2.88
Se: 0.8854 0.0000 0.2070  1 Nb 2.65, 3 Pa 2.87-2.88
Se: 0.8961 0.5000 0.6987  2 Nb 2.68, 3 Pa 2.89-2.94

Raw formation energy in eV/atom: -1.0043
M_tot in Bohr magnetons per cell: 0.0
Fermi-level density of states in states/eV/atom: 1.251

---

5.
DFT (PBE) results for a geometry-optimized CeNd2Ga structure.

Unit cell a=3.5914 b=3.5914 c=8.8548 alpha=90.00 beta=90.00 gamma=90.00
Last column: nearest neighbours and their distance in Å.
Fractional positions:
Ce: 0.0000 0.0000 0.0000  8 Nd 3.56, 4 Ce 3.59
Nd: 0.5000 0.5000 0.2810  4 Ga 3.20, 4 Ce 3.56
Nd: 0.5000 0.5000 0.7190  4 Ga 3.20, 4 Ce 3.56
Ga: 0.0000 0.0000 0.5000  8 Nd 3.20

Energy above the lowest structure with this stoichiometry in meV/atom: 5.2
ΔH_f (0 K) in kJ per mole of atoms: -20
M_tot in Bohr magnetons per cell: 0.4
Fermi-level density of states in states/eV/atom: 1.355

---

6.
DFT (PBE) results for a geometry-optimized ZrSc2Be structure.

Unit cell a=4.2177 b=4.2177 c=8.8409 alpha=90.00 beta=90.00 gamma=90.00
Last column: nearest neighbours and their distance in Å.
Fractional positions:
Zr: 0.0000 0.0000 0.0000  4 Be 2.98, 8 Sc 3.05
Zr: 0.5000 0.5000 0.5000  4 Be 2.98, 8 Sc 3.05
Sc: 0.0000 0.5000 0.2500  4 Sc 2.98, 4 Zr 3.05, 4 Be 3.05
Sc: 0.0000 0.5000 0.7500  4 Sc 2.98, 4 Zr 3.05, 4 Be 3.05
Sc: 0.5000 0.0000 0.2500  4 Sc 2.98, 4 Zr 3.05, 4 Be 3.05
Sc: 0.5000 0.0000 0.7500  4 Sc 2.98, 4 Zr 3.05, 4 Be 3.05
Be: 0.0000 0.0000 0.5000  4 Zr 2.98, 8 Sc 3.05
Be: 0.5000 0.5000 0.0000  4 Zr 2.98, 8 Sc 3.05

ΔH_f (0 K) in kJ per mole of atoms: 16
M_tot in Bohr magnetons per cell: 1.6
Fermi-level density of states in states/eV/atom: 1.470

---

7.
DFT (PBE) results for a geometry-optimized NaLiGe structure.

Unit cell a=4.7540 b=4.7540 c=2.9750 alpha=90.00 beta=90.00 gamma=120.00
Last column: nearest neighbours and their distance in Å.
Fractional positions:
Na: 0.0000 0.0000 0.0000  3 Li 2.83, 2 Na 2.97, 3 Ge 3.02
Li: 0.3333 0.6667 0.7678  3 Na 2.83, 3 Ge 2.93, 2 Li 2.97
Ge: 0.6667 0.3333 0.4234  3 Li 2.93, 2 Ge 2.97, 6 Na 3.02-3.24

Energy above the lowest structure with this stoichiometry in meV/atom: 113.4
ΔH_f (0 K) in kJ per mole of atoms: -11
M_tot in Bohr magnetons per cell: 0.0
Fermi-level density of states in states/eV/atom: 0.306

---

8.
DFT (PBE) results for a geometry-optimized RbTi3W structure.

Unit cell a=4.5947 b=4.5947 c=4.5947 alpha=90.00 beta=90.00 gamma=90.00
Last column: nearest neighbours and their distance in Å.
Fractional positions:
Rb: 0.0000 0.0000 0.0000  6 Ti 2.30
Ti: 0.0000 0.0000 0.5000  2 Rb 2.30
Ti: 0.0000 0.5000 0.0000  2 Rb 2.30
Ti: 0.5000 0.0000 0.0000  2 Rb 2.30
W: 0.5000 0.5000 0.5000  12 Ti 3.25

Energy above the lowest structure with this stoichiometry in meV/atom: 1301.1
ΔH_f (0 K) in kJ per mole of atoms: 231
M_tot in Bohr magnetons per cell: 0.0
Fermi-level density of states in states/eV/atom: 1.644

---

- Look up the Fermi-level density of states of the fourth one.
  1.251 states/eV/atom